1.
Below is a relaxed NaCd2Ga6 crystal, with properties calculated at the GGA-PBE level.

Cell: 4.287 4.287 10.585 Å, 90.00 90.00 90.00°
Fractional positions:
Na 0.000 0.000 0.000
Cd 0.500 0.500 0.132
Cd 0.500 0.500 0.868
Ga 0.000 0.500 0.312
Ga 0.500 0.000 0.312
Ga 0.000 0.500 0.688
Ga 0.500 0.000 0.688
Ga 0.500 0.500 0.500
Ga 0.000 0.000 0.500

## Properties
Energy, Ry/atom: -0.174

=====

2.
Below is a relaxed CsSrIr3 crystal, with properties calculated at the GGA-PBE level.

Cell: 5.095 5.095 5.095 Å, 90.00 90.00 90.00°
Each line ends with the local moment (μB).
Fractional positions:
Cs 0.000 0.000 0.000  -0.01
Sr 0.500 0.500 0.500  -0.01
Ir 0.000 0.500 0.000  0.48
Ir 0.000 0.000 0.500  0.28
Ir 0.500 0.000 0.000  0.44

## Properties
Energy, Ry/atom: -0.271

=====

3.
Below is a relaxed ScVRu crystal, with properties calculated at the GGA-PBE level.

Cell: 5.122 5.125 5.125 Å, 64.93 60.02 60.02°
Fractional positions:
Sc 0.869 0.381 0.381
Sc 0.131 0.619 0.619
V 0.000 0.000 0.000
V 0.500 0.000 0.000
Ru 0.500 0.500 0.000
Ru 0.500 0.000 0.500

## Properties
Energy, Ry/atom: -0.631